[1]
Compound: P2AuIO8
Source: Alexandria via LeMat-Bulk
Functional: PBE
Structure: relaxed

a = 9.183 Å, b = 5.525 Å, c = 6.661 Å
α = 90.00°, β = 107.32°, γ = 90.00°
Space group C2/m (No. 12)
Unique sites:
P: 0.228 0.000 0.250 x4
Au: 0.000 0.000 0.500 x2
I: 0.000 0.500 0.000 x2
O: 0.100 0.500 0.743 x4
O: 0.153 0.230 0.122 x8
O: 0.217 0.000 0.472 x4

Values from the calculation:
magnetization: 0.0 Bohr magnetons per cell
raw formation energy: -1130 meV per atom
electronic total energy: -5.74 eV per atom

***

[2]
Compound: P2AuIO
Source: Alexandria via LeMat-Bulk
Functional: PBE
Structure: relaxed

a = 5.168 Å, b = 5.168 Å, c = 3.867 Å
α = 90.00°, β = 90.00°, γ = 90.00°
Space group P4/mmm (No. 123)
Unique sites:
P: 0.000 0.500 0.000 x2
Au: 0.000 0.000 0.500 x1
I: 0.500 0.500 0.000 x1
O: 0.500 0.500 0.500 x1

Values from the calculation:
magnetization: 0.0 Bohr magnetons per cell
raw formation energy: 1055 meV per atom
electronic total energy: -3.07 eV per atom
energy relative to the lowest polymorph listed for this composition: 0.234 eV/atom

***

[3]
Compound: P2AuIO
Source: Alexandria via LeMat-Bulk
Functional: PBE
Structure: relaxed

a = 4.947 Å, b = 4.947 Å, c = 4.076 Å
α = 90.00°, β = 90.00°, γ = 90.00°
Space group P4/mmm (No. 123)
Unique sites:
P: 0.000 0.500 0.000 x2
Au: 0.000 0.000 0.000 x1
I: 0.500 0.500 0.500 x1
O: 0.000 0.000 0.500 x1

Values from the calculation:
magnetization: 0.0 Bohr magnetons per cell
raw formation energy: 821 meV per atom
electronic total energy: -3.30 eV per atom
energy relative to the lowest polymorph listed for this composition: 0.000 eV/atom

***

[4]
Compound: PAuI2O
Source: Alexandria via LeMat-Bulk
Functional: PBE
Structure: relaxed

a = 5.666 Å, b = 5.666 Å, c = 3.949 Å
α = 90.00°, β = 90.00°, γ = 90.00°
Space group P4/mmm (No. 123)
Unique sites:
P: 0.000 0.000 0.000 x1
Au: 0.500 0.500 0.500 x1
I: 0.000 0.500 0.500 x2
O: 0.500 0.500 0.000 x1

Values from the calculation:
magnetization: 0.0 Bohr magnetons per cell
raw formation energy: 757 meV per atom
electronic total energy: -2.59 eV per atom
energy relative to the lowest polymorph listed for this composition: 0.701 eV/atom

***

[5]
Compound: PaAuIO6
Source: Alexandria via LeMat-Bulk
Functional: PBE
Structure: relaxed

a = 5.7337 Å, b = 5.7337 Å, c = 9.5780 Å
α = 90.00°, β = 90.00°, γ = 120.00°
Space group P-31c (No. 163)
Unique sites:
Pa: 0.3333 0.6667 0.2500 x2
Au: 0.0000 0.0000 0.0000 x2
I: 0.3333 0.6667 0.7500 x2
O: 0.0151 0.3635 0.6352 x12

Values from the calculation:
magnetization: 0.0 Bohr magnetons per cell
raw formation energy: -1207 meV per atom
electronic total energy: -6.10 eV per atom

***

[6]
Compound: PaAu2IO8
Source: Alexandria via LeMat-Bulk
Functional: PBE
Structure: relaxed

a = 6.853 Å, b = 6.853 Å, c = 7.348 Å
α = 90.00°, β = 90.00°, γ = 90.00°
Space group I-4m2 (No. 119)
Unique sites:
Pa: 0.000 0.000 0.000 x2
Au: 0.000 0.000 0.500 x2
Au: 0.000 0.500 0.750 x2
I: 0.000 0.500 0.250 x2
O: 0.000 0.185 0.277 x8
O: 0.000 0.323 0.990 x8

Values from the calculation:
magnetization: 0.0 Bohr magnetons per cell
raw formation energy: -774 meV per atom
electronic total energy: -5.55 eV per atom